one:
DFT (GGA-PBE) results for an optimized crystal structure of AlCuAg.

The density of states at the Fermi level is 0.23 states/eV per atom. The spin magnetization is 0.000 μB/cell.

It has space group P2_1/m (No. 11), with a = 4.743 Å, b = 4.463 Å, c = 4.851 Å, α = 90.00°, β = 118.91° and γ = 90.00°. The inequivalent atoms are Al at (0.185, 0.250, 0.167), Cu at (0.472, 0.750, 0.131) and Ag at (0.174, 0.750, 0.489).

two:
DFT (GGA-PBE) results for an optimized crystal structure of AlCuAg.

The density of states at the Fermi level is 0.79 states/eV per atom. The spin magnetization is 0.000 μB/cell.

It has space group F-43m (No. 216), with a = 5.938 Å, b = 5.938 Å, c = 5.938 Å, α = 90.00°, β = 90.00° and γ = 90.00°. The inequivalent atoms are Al at (0.000, 0.000, 0.000), Cu at (0.250, 0.250, 0.750) and Ag at (0.000, 0.000, 0.500).

Of them, one has the highest stability.

one:
DFT (GGA-PBE) results for an optimized crystal structure of Dy4AlAg.

The density of states at the Fermi level is 1.13 states/eV per atom. The spin magnetization is 0.000 μB/cell.

It has space group Cmc2_1 (No. 36), with a = 5.170 Å, b = 21.718 Å, c = 6.373 Å, α = 90.00°, β = 90.00° and γ = 90.00°. The inequivalent atoms are Dy at (0.000, 0.064, 0.000), Dy at (0.000, 0.193, 0.301), Dy at (0.000, 0.215, 0.817), Dy at (0.000, 0.375, 0.076), Al at (0.000, 0.340, 0.554) and Ag at (0.000, 0.070, 0.507).

two:
DFT (GGA-PBE) results for an optimized crystal structure of Dy4AlAg.

The density of states at the Fermi level is 1.02 states/eV per atom. The spin magnetization is 0.000 μB/cell.

It has space group Cm (No. 8), with a = 12.106 Å, b = 3.566 Å, c = 8.791 Å, α = 90.00°, β = 122.31° and γ = 90.00°. The inequivalent atoms are Dy at (0.000, 0.000, 0.000), Dy at (0.053, 0.500, 0.701), Dy at (0.248, 0.000, 0.600), Dy at (0.316, 0.500, 0.305), Al at (0.274, 0.000, 0.981) and Ag at (0.030, 0.500, 0.307).

Of them, two has the highest stability.

one:
DFT (GGA-PBE) results for an optimized crystal structure of Dy4AlAg3.

The density of states at the Fermi level is 0.56 states/eV per atom. The spin magnetization is 0.000 μB/cell.

It has space group P4/mmm (No. 123), with a = 3.581 Å, b = 3.581 Å, c = 14.901 Å, α = 90.00°, β = 90.00° and γ = 90.00°. The inequivalent atoms are Dy at (0.000, 0.000, 0.125), Dy at (0.000, 0.000, 0.375), Al at (0.500, 0.500, 0.000), Ag at (0.500, 0.500, 0.249) and Ag at (0.500, 0.500, 0.500).

two:
DFT (GGA-PBE) results for an optimized crystal structure of Dy4AlAg3.

The density of states at the Fermi level is 0.98 states/eV per atom. The spin magnetization is 0.000 μB/cell.

It has space group Pmm2 (No. 25), with a = 3.653 Å, b = 4.740 Å, c = 11.378 Å, α = 90.00°, β = 90.00° and γ = 90.00°. The inequivalent atoms are Dy at (0.000, 0.000, 0.000), Dy at (0.000, 0.500, 0.293), Dy at (0.500, 0.000, 0.496), Dy at (0.500, 0.500, 0.800), Al at (0.000, 0.000, 0.723), Ag at (0.000, 0.500, 0.574), Ag at (0.500, 0.000, 0.226) and Ag at (0.500, 0.500, 0.071).

Of them, one has the highest stability.

one:
DFT (GGA-PBE) results for an optimized crystal structure of DyAl3Ag2.

The density of states at the Fermi level is 0.38 states/eV per atom. The spin magnetization is 0.000 μB/cell.

It has space group Cmcm (No. 63), with a = 11.574 Å, b = 7.237 Å, c = 5.798 Å, α = 90.00°, β = 90.00° and γ = 90.00°. The inequivalent atoms are Dy at (0.000, 0.151, 0.250), Al at (0.000, 0.279, 0.750), Al at (0.209, 0.180, 0.750) and Ag at (0.139, 0.500, 0.000).

two:
DFT (GGA-PBE) results for an optimized crystal structure of DyAl3Ag2.

The density of states at the Fermi level is 0.52 states/eV per atom. The spin magnetization is 0.000 μB/cell.

It has space group C2/m (No. 12), with a = 14.425 Å, b = 7.677 Å, c = 4.504 Å, α = 90.00°, β = 108.04° and γ = 90.00°. The inequivalent atoms are Dy at (0.130, 0.000, 0.130), Al at (0.000, 0.336, 0.000), Al at (0.175, 0.298, 0.675), Ag at (0.000, 0.178, 0.500) and Ag at (0.193, 0.500, 0.193).

Of them, two has the highest stability.

one:
DFT (GGA-PBE) results for an optimized crystal structure of Dy4AlAg2.

The density of states at the Fermi level is 1.10 states/eV per atom. The spin magnetization is 0.000 μB/cell.

It has space group I-42d (No. 122), with a = 9.118 Å, b = 9.118 Å, c = 8.908 Å, α = 90.00°, β = 90.00° and γ = 90.00°. The inequivalent atoms are Dy at (0.069, 0.179, 0.302), Al at (0.000, 0.000, 0.000) and Ag at (0.124, 0.250, 0.625).

two:
DFT (GGA-PBE) results for an optimized crystal structure of Dy4AlAg2.

The density of states at the Fermi level is 0.98 states/eV per atom. The spin magnetization is 0.000 μB/cell.

It has space group R-3m (No. 166, hexagonal axes), with a = 5.0938 Å, b = 5.0938 Å, c = 24.4856 Å, α = 90.00°, β = 90.00° and γ = 120.00°. The inequivalent atoms are Dy at (0.0000, 0.0000, 0.1190), Dy at (0.0000, 0.0000, 0.3722), Al at (0.0000, 0.0000, 0.5000) and Ag at (0.0000, 0.0000, 0.2447).

Of them, two has the highest stability.

one:
DFT (GGA-PBE) results for an optimized crystal structure of Dy2AlAg2.

The density of states at the Fermi level is 0.78 states/eV per atom. The spin magnetization is 0.000 μB/cell.

It has space group P4/mbm (No. 127), with a = 7.473 Å, b = 7.473 Å, c = 4.147 Å, α = 90.00°, β = 90.00° and γ = 90.00°. The inequivalent atoms are Dy at (0.174, 0.326, 0.000), Al at (0.000, 0.000, 0.500) and Ag at (0.132, 0.632, 0.500).

two:
DFT (GGA-PBE) results for an optimized crystal structure of Dy2AlAg2.

The density of states at the Fermi level is 1.03 states/eV per atom. The spin magnetization is 0.000 μB/cell.

It has space group C2/m (No. 12), with a = 10.811 Å, b = 4.437 Å, c = 10.900 Å, α = 90.00°, β = 116.86° and γ = 90.00°. The inequivalent atoms are Dy at (0.008, 0.000, 0.337), Dy at (0.192, 0.000, 0.110), Al at (0.221, 0.500, 0.346), Ag at (0.022, 0.500, 0.882) and Ag at (0.147, 0.500, 0.564).

Of them, two has the highest stability.

one:
DFT (GGA-PBE) results for an optimized crystal structure of DyErAlAg.

The density of states at the Fermi level is 0.62 states/eV per atom. The spin magnetization is 0.000 μB/cell.

It has space group P4mm (No. 99), with a = 3.536 Å, b = 3.536 Å, c = 7.521 Å, α = 90.00°, β = 90.00° and γ = 90.00°. The inequivalent atoms are Dy at (0.000, 0.000, 0.000), Er at (0.000, 0.000, 0.499), Al at (0.500, 0.500, 0.747) and Ag at (0.500, 0.500, 0.257).

two:
DFT (GGA-PBE) results for an optimized crystal structure of DyErAlAg.

The density of states at the Fermi level is 0.86 states/eV per atom. The spin magnetization is 0.000 μB/cell.

It has space group F-43m (No. 216), with a = 7.256 Å, b = 7.256 Å, c = 7.256 Å, α = 90.00°, β = 90.00° and γ = 90.00°. The inequivalent atoms are Dy at (0.000, 0.000, 0.000), Er at (0.000, 0.000, 0.500), Al at (0.250, 0.250, 0.250) and Ag at (0.250, 0.250, 0.750).

Of them, one has the highest stability.

one:
DFT (GGA-PBE) results for an optimized crystal structure of DyHoAlAg.

The density of states at the Fermi level is 0.90 states/eV per atom. The spin magnetization is 0.000 μB/cell.

It has space group F-43m (No. 216), with a = 7.273 Å, b = 7.273 Å, c = 7.273 Å, α = 90.00°, β = 90.00° and γ = 90.00°. The inequivalent atoms are Dy at (0.000, 0.000, 0.000), Ho at (0.000, 0.000, 0.500), Al at (0.250, 0.250, 0.750) and Ag at (0.250, 0.250, 0.250).

two:
DFT (GGA-PBE) results for an optimized crystal structure of DyHoAlAg.

The density of states at the Fermi level is 0.65 states/eV per atom. The spin magnetization is 0.000 μB/cell.

It has space group P4mm (No. 99), with a = 3.542 Å, b = 3.542 Å, c = 7.541 Å, α = 90.00°, β = 90.00° and γ = 90.00°. The inequivalent atoms are Dy at (0.000, 0.000, 0.000), Ho at (0.000, 0.000, 0.500), Al at (0.500, 0.500, 0.749) and Ag at (0.500, 0.500, 0.254).

Of them, two has the highest stability.

one:
DFT (GGA-PBE) results for an optimized crystal structure of PrDyAlAg.

The density of states at the Fermi level is 0.89 states/eV per atom. The spin magnetization is 0.000 μB/cell.

It has space group P4mm (No. 99), with a = 3.620 Å, b = 3.620 Å, c = 7.711 Å, α = 90.00°, β = 90.00° and γ = 90.00°. The inequivalent atoms are Pr at (0.000, 0.000, 0.000), Dy at (0.000, 0.000, 0.505), Al at (0.500, 0.500, 0.741) and Ag at (0.500, 0.500, 0.286).

two:
DFT (GGA-PBE) results for an optimized crystal structure of PrDyAlAg.

The density of states at the Fermi level is 1.10 states/eV per atom. The spin magnetization is 0.008 μB/cell.

It has space group F-43m (No. 216), with a = 7.443 Å, b = 7.443 Å, c = 7.443 Å, α = 90.00°, β = 90.00° and γ = 90.00°. The inequivalent atoms are Pr at (0.000, 0.000, 0.000), Dy at (0.000, 0.000, 0.500), Al at (0.250, 0.250, 0.250) and Ag at (0.250, 0.250, 0.750).

Of them, one has the highest stability.

one:
DFT (GGA-PBE) results for an optimized crystal structure of SmDyAlAg.

The density of states at the Fermi level is 0.83 states/eV per atom. The spin magnetization is 0.000 μB/cell.

It has space group P4mm (No. 99), with a = 3.585 Å, b = 3.585 Å, c = 7.640 Å, α = 90.00°, β = 90.00° and γ = 90.00°. The inequivalent atoms are Sm at (0.000, 0.000, 0.000), Dy at (0.000, 0.000, 0.503), Al at (0.500, 0.500, 0.745) and Ag at (0.500, 0.500, 0.270).

two:
DFT (GGA-PBE) results for an optimized crystal structure of SmDyAlAg.

The density of states at the Fermi level is 1.03 states/eV per atom. The spin magnetization is 0.003 μB/cell.

It has space group F-43m (No. 216), with a = 7.369 Å, b = 7.369 Å, c = 7.369 Å, α = 90.00°, β = 90.00° and γ = 90.00°. The inequivalent atoms are Sm at (0.000, 0.000, 0.000), Dy at (0.000, 0.000, 0.500), Al at (0.250, 0.250, 0.250) and Ag at (0.250, 0.250, 0.750).

Of them, one has the highest stability.

one:
DFT (GGA-PBE) results for an optimized crystal structure of TbDyAlAg.

The density of states at the Fermi level is 0.95 states/eV per atom. The spin magnetization is 0.000 μB/cell.

It has space group F-43m (No. 216), with a = 7.306 Å, b = 7.306 Å, c = 7.306 Å, α = 90.00°, β = 90.00° and γ = 90.00°. The inequivalent atoms are Tb at (0.000, 0.000, 0.000), Dy at (0.000, 0.000, 0.500), Al at (0.250, 0.250, 0.250) and Ag at (0.250, 0.250, 0.750).

two:
DFT (GGA-PBE) results for an optimized crystal structure of TbDyAlAg.

The density of states at the Fermi level is 0.73 states/eV per atom. The spin magnetization is 0.000 μB/cell.

It has space group P4mm (No. 99), with a = 3.557 Å, b = 3.557 Å, c = 7.577 Å, α = 90.00°, β = 90.00° and γ = 90.00°. The inequivalent atoms are Tb at (0.000, 0.000, 0.000), Dy at (0.000, 0.000, 0.501), Al at (0.500, 0.500, 0.749) and Ag at (0.500, 0.500, 0.255).

Of them, two has the highest stability.

one:
DFT (GGA-PBE) results for an optimized crystal structure of DyYAlAg.

The density of states at the Fermi level is 0.68 states/eV per atom. The spin magnetization is 0.000 μB/cell.

It has space group P4mm (No. 99), with a = 3.557 Å, b = 3.557 Å, c = 7.558 Å, α = 90.00°, β = 90.00° and γ = 90.00°. The inequivalent atoms are Dy at (0.000, 0.000, 0.000), Y at (0.000, 0.000, 0.500), Al at (0.500, 0.500, 0.750) and Ag at (0.500, 0.500, 0.248).

two:
DFT (GGA-PBE) results for an optimized crystal structure of DyYAlAg.

The density of states at the Fermi level is 0.88 states/eV per atom. The spin magnetization is 0.000 μB/cell.

It has space group F-43m (No. 216), with a = 7.296 Å, b = 7.296 Å, c = 7.296 Å, α = 90.00°, β = 90.00° and γ = 90.00°. The inequivalent atoms are Dy at (0.000, 0.000, 0.000), Y at (0.000, 0.000, 0.500), Al at (0.250, 0.250, 0.750) and Ag at (0.250, 0.250, 0.250).

Of them, one has the highest stability.